Ba6Pd2Br3N: relaxed, PBE.

abc: 7.8153 7.8153 8.5217
angles: 98.84 98.84 120.00
With the nearest neighbours (Å) after each atom.
Element x y z (fractional)
Ba: 0.9321 0.6333 0.7986  1 N 2.85
Ba: 0.2303 0.2303 0.7981  1 N 2.85
Ba: 0.6333 0.9321 0.7986  1 N 2.85
Ba: 0.7697 0.7697 0.2019  1 N 2.85
Ba: 0.0679 0.3667 0.2014  1 N 2.85
Br: 0.5000 0.5000 0.5000  6 Ba 3.46-3.77
Pd: 0.6663 0.3337 0.0000  6 Ba 3.20
Br: 0.1689 0.8311 0.5000  6 Ba 3.48-3.74
Br: 0.8311 0.1689 0.5000  6 Ba 3.48-3.74
Pd: 0.3337 0.6663 0.0000  6 Ba 3.20
Ba: 0.3667 0.0679 0.2014  1 N 2.85
N: 0.0000 0.0000 0.0000  6 Ba 2.85

Summary:
**VASP energy**: -48.60 eV for the cell shown
**Formation energy (no corrections)**: -1.1113 eV per atom



Ba2PrBr2N2: relaxed, PBE.

abc: 4.7414 4.7414 9.1376
angles: 105.04 105.04 90.00
With the nearest neighbours (Å) after each atom.
Element x y z (fractional)
Ba: 0.3923 0.3923 0.7846  4 N 3.00
Br: 0.1819 0.1819 0.3638  1 Pr 3.09
Pr: 0.0000 0.0000 0.0000  4 N 2.37
N: 0.5000 0.0000 0.0000  2 Pr 2.37
Br: 0.8181 0.8181 0.6362  1 Pr 3.09
N: 0.0000 0.5000 0.0000  2 Pr 2.37
Ba: 0.6077 0.6077 0.2154  4 N 3.00

Summary:
**VASP energy**: -37.72 eV for the cell shown
**Formation energy (no corrections)**: -1.2995 eV per atom